#P
Here is crystalline MnInBr4 at its relaxed geometry from the Alexandria database. Energies are from PBE.

The structure in POSCAR format:
```
MnInBr4
1.0
0.000 4.603 4.603
4.603 0.000 4.603
4.603 4.603 0.000
Mn In Br
1 1 4
Direct
0.000 0.000 0.000
0.750 0.750 0.750
0.875 0.375 0.375
0.375 0.375 0.875
0.375 0.875 0.375
0.375 0.375 0.375
```

Symmetry = F-43m

=====

#Q
Here is crystalline MnInBr4 at its relaxed geometry from the Alexandria database. Energies are from PBE.

The structure in POSCAR format:
```
MnInBr4
1.0
-7.035 0.876 0.011
-0.109 -0.786 -7.180
-0.308 -7.244 0.798
Mn In Br
2 2 8
Direct
0.500 0.000 0.500
0.000 0.500 0.500
0.000 0.000 0.000
0.500 0.500 0.000
0.906 0.627 0.198
0.594 0.127 0.802
0.262 0.331 0.368
0.238 0.831 0.632
0.094 0.373 0.802
0.406 0.873 0.198
0.738 0.669 0.632
0.762 0.169 0.368
```

Symmetry = P2_1/c

=====

Quick ranking, most stable first: #Q, #P.

=====

#P
Here is crystalline InMoBr2 at its relaxed geometry from the Alexandria database. Energies are from PBE.

The structure in POSCAR format:
```
InMoBr2
1.0
-3.818 -4.890 -3.170
1.811 -6.567 -1.461
-0.088 4.824 5.025
Mo Br In
1 2 1
Direct
0.750 0.250 0.500
0.000 0.000 0.000
0.250 0.750 0.500
0.500 0.500 0.000
```

Symmetry = I-4m2

=====

#Q
Here is crystalline InMoBr2 at its relaxed geometry from the Alexandria database. Energies are from PBE.

The structure in POSCAR format:
```
InMoBr2
1.0
-2.300 -4.953 -0.058
2.988 -1.289 -4.386
2.828 -1.903 1.844
Mo Br In
1 2 1
Direct
0.000 0.500 0.500
0.000 0.000 0.000
0.500 0.500 0.000
0.500 0.000 0.500
```

Symmetry = C2/m

=====

Quick ranking, most stable first: #Q, #P.

=====

#P
Here is crystalline InMoBr2 at its relaxed geometry from the Alexandria database. Energies are from PBE.

The structure in POSCAR format:
```
InMoBr2
1.0
-7.159 -5.585 2.637
-4.536 -7.040 4.388
-6.194 -4.290 5.712
Mo Br In
1 2 1
Direct
0.749 0.749 0.749
0.026 0.026 0.026
0.233 0.233 0.233
0.492 0.492 0.492
```

Symmetry = R3m

=====

#Q
Here is crystalline InMoBr2 at its relaxed geometry from the Alexandria database. Energies are from PBE.

The structure in POSCAR format:
```
InMoBr2
1.0
7.821 0.001 0.027
7.144 3.181 0.027
1.625 0.346 4.746
Mo Br In
1 2 1
Direct
0.250 0.250 0.250
0.897 0.897 0.102
0.603 0.603 0.398
0.750 0.750 0.750
```

Symmetry = C2/m

=====

Quick ranking, most stable first: #P, #Q.